DFT (PBE-GGA) results for a geometry-optimized ZrRhPb2 structure.

Calculated values
Density of states at the Fermi level = 7.27 states/eV per cell
Uncorrected energy = -5.641 eV/atom
Symmetry = No. 122

a b c (Å): 10.6797 10.6797 10.6797
angles (deg): 156.62 156.62 33.31
With the nearest neighbours (Å) after each atom.
Fractional positions:
Zr 0.0000 0.0000 0.0000  4 Pb 3.00, 4 Rh 3.06
Zr 0.7500 0.2500 0.5000  4 Pb 3.00, 4 Rh 3.06
Rh 0.2500 0.7500 0.5000  4 Pb 2.96, 4 Zr 3.06
Rh 0.5000 0.5000 0.0000  4 Pb 2.96, 4 Zr 3.06
Pb 0.1363 0.6250 0.0113  2 Rh 2.96, 4 Pb 2.99-3.13, 2 Zr 3.00
Pb 0.3750 0.3863 0.5113  2 Rh 2.96, 4 Pb 2.99-3.13, 2 Zr 3.00
Pb 0.6137 0.1250 0.9887  2 Rh 2.96, 4 Pb 2.99-3.13, 2 Zr 3.00
Pb 0.8750 0.8637 0.4887  2 Rh 2.96, 4 Pb 2.99-3.13, 2 Zr 3.00

DFT (PBE-GGA) results for a geometry-optimized Zr2RhPb2 structure.

Calculated values
Excess energy over the best structure of this formula in the dataset = 38 meV/atom
Density of states at the Fermi level = 8.95 states/eV per cell
Uncorrected energy = -6.412 eV/atom
Symmetry = No. 127

a b c (Å): 6.9590 6.9590 4.9618
angles (deg): 90.00 90.00 90.00
With the nearest neighbours (Å) after each atom.
Fractional positions:
Zr 0.1595 0.3405 0.0000  2 Rh 2.62
Zr 0.3405 0.8405 0.0000  2 Rh 2.62
Zr 0.6595 0.1595 0.0000  2 Rh 2.62
Zr 0.8405 0.6595 0.0000  2 Rh 2.62
Rh 0.0000 0.0000 0.0000  4 Zr 2.62
Rh 0.5000 0.5000 0.0000  4 Zr 2.62
Pb 0.1650 0.6650 0.5000  6 Zr 3.02-3.35, 1 Pb 3.25
Pb 0.3350 0.1650 0.5000  6 Zr 3.02-3.35, 1 Pb 3.25
Pb 0.6650 0.8350 0.5000  6 Zr 3.02-3.35, 1 Pb 3.25
Pb 0.8350 0.3350 0.5000  6 Zr 3.02-3.35, 1 Pb 3.25

DFT (PBE-GGA) results for a geometry-optimized ZrRhPb2 structure.

Calculated values
Density of states at the Fermi level = 2.79 states/eV per cell
Uncorrected energy = -5.926 eV/atom
Symmetry = No. 8

a b c (Å): 5.8279 5.8279 5.3508
angles (deg): 112.82 112.82 33.51
With the nearest neighbours (Å) after each atom.
Fractional positions:
Zr 0.0000 0.0000 0.0000  2 Rh 2.65
Rh 0.6847 0.6847 0.3066  2 Zr 2.65
Pb 0.2201 0.2201 0.7962  2 Rh 3.00, 3 Zr 3.06-3.32, 3 Pb 3.31-3.36
Pb 0.4337 0.4337 0.4430  3 Rh 3.07-3.17, 4 Zr 3.23-3.24, 5 Pb 3.31-3.42

DFT (PBE-GGA) results for a geometry-optimized ZrRh4Pb structure.

Calculated values
Density of states at the Fermi level = 1.55 states/eV per cell
Uncorrected energy = -7.252 eV/atom
Symmetry = No. 216

a b c (Å): 5.2609 5.2609 5.2609
angles (deg): 60.00 60.00 60.00
With the nearest neighbours (Å) after each atom.
Fractional positions:
Zr 0.0000 0.0000 0.0000  12 Rh 3.09, 4 Pb 3.22
Rh 0.3753 0.3753 0.3753  6 Rh 2.62-2.64
Rh 0.3753 0.3753 0.8742  6 Rh 2.62-2.64
Rh 0.3753 0.8742 0.3753  6 Rh 2.62-2.64
Rh 0.8742 0.3753 0.3753  6 Rh 2.62-2.64
Pb 0.7500 0.7500 0.7500  12 Rh 3.08, 4 Zr 3.22

DFT (PBE-GGA) results for a geometry-optimized ZrRh2Pb structure.

Calculated values
Density of states at the Fermi level = 4.26 states/eV per cell
Uncorrected energy = -6.826 eV/atom
Symmetry = No. 122

a b c (Å): 5.9931 5.9931 5.9931
angles (deg): 104.63 104.63 119.66
With the nearest neighbours (Å) after each atom.
Fractional positions:
Zr 0.0000 0.0000 0.0000  4 Rh 2.58
Zr 0.7500 0.2500 0.5000  4 Rh 2.58
Rh 0.1015 0.6250 0.9765  2 Zr 2.58, 2 Pb 2.82
Rh 0.3750 0.3515 0.4765  2 Zr 2.58, 2 Pb 2.82
Rh 0.6485 0.1250 0.0235  2 Zr 2.58, 2 Pb 2.82
Rh 0.8750 0.8985 0.5235  2 Zr 2.58, 2 Pb 2.82
Pb 0.2500 0.7500 0.5000  4 Rh 2.82, 2 Zr 3.01
Pb 0.5000 0.5000 0.0000  4 Rh 2.82, 2 Zr 3.01

DFT (PBE-GGA) results for a geometry-optimized ZrRhPb structure.

Calculated values
Density of states at the Fermi level = 3.07 states/eV per cell
Uncorrected energy = -6.728 eV/atom
Symmetry = No. 44

a b c (Å): 5.1985 5.1985 5.1985
angles (deg): 144.00 132.49 61.02
With the nearest neighbours (Å) after each atom.
Fractional positions:
Zr 0.0000 0.0000 0.0000  5 Pb 2.92-3.07, 5 Rh 3.00-3.04, 2 Zr 3.21
Rh 0.6602 0.6602 0.0000  5 Pb 2.99-3.03, 5 Zr 3.00-3.04, 2 Rh 3.21
Pb 0.3259 0.3259 0.0000  5 Zr 2.92-3.07, 5 Rh 2.99-3.03, 2 Pb 3.21

DFT (PBE-GGA) results for a geometry-optimized ZrRh2Pb structure.

Calculated values
Density of states at the Fermi level = 3.11 states/eV per cell
Uncorrected energy = -7.188 eV/atom
Symmetry = No. 123

a b c (Å): 3.4000 3.4000 6.5000
angles (deg): 90.00 90.00 90.00
With the nearest neighbours (Å) after each atom.
Fractional positions:
Zr 0.0000 0.0000 0.0000  8 Rh 2.82
Rh 0.5000 0.5000 0.2255  4 Zr 2.82, 1 Rh 2.93, 4 Pb 2.99
Rh 0.5000 0.5000 0.7745  4 Zr 2.82, 1 Rh 2.93, 4 Pb 2.99
Pb 0.0000 0.0000 0.5000  8 Rh 2.99, 2 Zr 3.25

DFT (PBE-GGA) results for a geometry-optimized ZrRhPb2 structure.

Calculated values
Density of states at the Fermi level = 2.16 states/eV per cell
Uncorrected energy = -6.083 eV/atom
Symmetry = No. 6

a b c (Å): 3.4123 3.4049 8.3243
angles (deg): 90.00 90.95 90.00
With the nearest neighbours (Å) after each atom.
Fractional positions:
Zr 0.0000 0.0000 0.0000  4 Rh 2.72
Rh 0.4945 0.5000 0.8492  4 Zr 2.72
Pb 0.5081 0.5000 0.2720  4 Zr 3.30-3.31, 6 Pb 3.40-3.62, 1 Rh 3.52
Pb 0.9911 0.0000 0.6042  4 Rh 3.15-3.17, 1 Zr 3.29, 4 Pb 3.40-3.41

DFT (PBE-GGA) results for a geometry-optimized ZrRh2Pb structure.

Calculated values
Density of states at the Fermi level = 4.81 states/eV per cell
Uncorrected energy = -6.860 eV/atom
Symmetry = No. 216

a b c (Å): 4.7023 4.7023 4.7023
angles (deg): 60.00 60.00 60.00
With the nearest neighbours (Å) after each atom.
Fractional positions:
Zr 0.0000 0.0000 0.0000  4 Pb 2.88, 4 Rh 2.88
Rh 0.5000 0.5000 0.5000  4 Rh 2.88, 4 Pb 2.88
Rh 0.7500 0.7500 0.7500  4 Zr 2.88, 4 Rh 2.88
Pb 0.2500 0.2500 0.2500  4 Rh 2.88, 4 Zr 2.88

DFT (PBE-GGA) results for a geometry-optimized ZrRh2Pb structure.

Calculated values
Density of states at the Fermi level = 1.82 states/eV per cell
Uncorrected energy = -7.065 eV/atom
Symmetry = No. 25

a b c (Å): 3.5701 3.7520 5.6642
angles (deg): 90.00 90.00 90.00
With the nearest neighbours (Å) after each atom.
Fractional positions:
Zr 0.0000 0.0000 0.0000  5 Rh 2.64-2.74
Rh 0.0000 0.0000 0.5346  1 Zr 2.64, 4 Pb 2.80
Rh 0.5000 0.5000 0.8405  4 Zr 2.74, 2 Pb 2.80-2.86
Pb 0.5000 0.5000 0.3455  6 Rh 2.80-2.86

DFT (PBE-GGA) results for a geometry-optimized ZrRh2Pb structure.

Calculated values
Density of states at the Fermi level = 2.84 states/eV per cell
Uncorrected energy = -6.952 eV/atom
Symmetry = No. 166

a b c (Å): 8.6841 8.6841 8.6841
angles (deg): 21.72 21.72 21.72
With the nearest neighbours (Å) after each atom.
Fractional positions:
Zr 0.0000 0.0000 0.0000  6 Rh 2.72
Rh 0.2565 0.2565 0.2565  3 Zr 2.72, 3 Pb 2.96
Rh 0.7435 0.7435 0.7435  3 Zr 2.72, 3 Pb 2.96
Pb 0.5000 0.5000 0.5000  6 Rh 2.96, 6 Pb 3.27

DFT (PBE-GGA) results for a geometry-optimized ZrRhPb structure.

Calculated values
Density of states at the Fermi level = 1.77 states/eV per cell
Uncorrected energy = -6.702 eV/atom
Symmetry = No. 156

a b c (Å): 3.4305 3.4305 6.7007
angles (deg): 90.00 90.00 120.00
With the nearest neighbours (Å) after each atom.
Fractional positions:
Zr 0.0000 0.0000 0.0000  3 Rh 2.59
Rh 0.6667 0.3333 0.7520  3 Zr 2.59
Pb 0.3333 0.6667 0.4017  3 Rh 3.07, 3 Zr 3.34, 6 Pb 3.43

DFT (PBE-GGA) results for a geometry-optimized ZrRhPb2 structure.

Calculated values
Density of states at the Fermi level = 2.81 states/eV per cell
Uncorrected energy = -5.850 eV/atom
Symmetry = No. 65

a b c (Å): 3.3826 3.3826 7.4912
angles (deg): 90.00 90.00 90.28
With the nearest neighbours (Å) after each atom.
Fractional positions:
Zr 0.0000 0.0000 0.0000  8 Pb 3.17-3.18, 4 Zr 3.38
Rh 0.0000 0.0000 0.5000  8 Pb 2.91-2.92
Pb 0.5000 0.5000 0.2784  4 Rh 2.91-2.92, 4 Zr 3.17-3.18
Pb 0.5000 0.5000 0.7216  4 Rh 2.91-2.92, 4 Zr 3.17-3.18

DFT (PBE-GGA) results for a geometry-optimized Zr2RhPb2 structure.

Calculated values
Excess energy over the best structure of this formula in the dataset = 0 meV/atom
Density of states at the Fermi level = 7.61 states/eV per cell
Uncorrected energy = -6.450 eV/atom
Symmetry = No. 127

a b c (Å): 7.0670 7.0670 4.5203
angles (deg): 90.00 90.00 90.00
With the nearest neighbours (Å) after each atom.
Fractional positions:
Zr 0.1600 0.3400 0.0000  6 Pb 2.96-3.14, 1 Zr 3.20
Zr 0.3400 0.8400 0.0000  6 Pb 2.96-3.14, 1 Zr 3.20
Zr 0.6600 0.1600 0.0000  6 Pb 2.96-3.14, 1 Zr 3.20
Zr 0.8400 0.6600 0.0000  6 Pb 2.96-3.14, 1 Zr 3.20
Rh 0.0000 0.0000 0.5000  4 Pb 2.69
Rh 0.5000 0.5000 0.5000  4 Pb 2.69
Pb 0.1493 0.6493 0.5000  2 Rh 2.69, 2 Zr 2.96, 1 Pb 2.98
Pb 0.3507 0.1493 0.5000  2 Rh 2.69, 2 Zr 2.96, 1 Pb 2.98
Pb 0.6493 0.8507 0.5000  2 Rh 2.69, 2 Zr 2.96, 1 Pb 2.98
Pb 0.8507 0.3507 0.5000  2 Rh 2.69, 2 Zr 2.96, 1 Pb 2.98

DFT (PBE-GGA) results for a geometry-optimized ZrRhPb2 structure.

Calculated values
Density of states at the Fermi level = 2.64 states/eV per cell
Uncorrected energy = -5.936 eV/atom
Symmetry = No. 160

a b c (Å): 9.3071 9.3071 9.3071
angles (deg): 21.99 21.99 21.99
With the nearest neighbours (Å) after each atom.
Fractional positions:
Zr 0.0000 0.0000 0.0000  3 Rh 2.61
Rh 0.7258 0.7258 0.7258  3 Zr 2.61
Pb 0.2383 0.2383 0.2383  3 Zr 3.30, 9 Pb 3.43-3.55
Pb 0.4705 0.4705 0.4705  3 Rh 2.95

DFT (PBE-GGA) results for a geometry-optimized ZrRhPb2 structure.

Calculated values
Density of states at the Fermi level = 3.44 states/eV per cell
Uncorrected energy = -5.774 eV/atom
Symmetry = No. 166

a b c (Å): 9.3791 9.3791 9.3791
angles (deg): 20.54 20.54 20.54
With the nearest neighbours (Å) after each atom.
Fractional positions:
Zr 0.0000 0.0000 0.0000  6 Pb 3.20, 6 Zr 3.34
Rh 0.5000 0.5000 0.5000  6 Pb 2.81
Pb 0.2407 0.2407 0.2407  3 Rh 2.81
Pb 0.7593 0.7593 0.7593  3 Rh 2.81

DFT (PBE-GGA) results for a geometry-optimized ZrRhPb3 structure.

Calculated values
Excess energy over the best structure of this formula in the dataset = 481 meV/atom
Density of states at the Fermi level = 9.80 states/eV per cell
Uncorrected energy = -4.384 eV/atom
Symmetry = No. 221

a b c (Å): 5.5809 5.5809 5.5809
angles (deg): 90.00 90.00 90.00
With the nearest neighbours (Å) after each atom.
Fractional positions:
Zr 0.0000 0.0000 0.0000  6 Pb 2.79
Rh 0.5000 0.5000 0.5000  12 Pb 3.95
Pb 0.0000 0.0000 0.5000  2 Zr 2.79
Pb 0.0000 0.5000 0.0000  2 Zr 2.79
Pb 0.5000 0.0000 0.0000  2 Zr 2.79

DFT (PBE-GGA) results for a geometry-optimized RuPb3 structure.

Calculated values
Excess energy over the best structure of this formula in the dataset = 379 meV/atom
Density of states at the Fermi level = 4.10 states/eV per cell
Uncorrected energy = -4.480 eV/atom
Symmetry = No. 123

a b c (Å): 4.9817 4.9817 4.0220
angles (deg): 90.00 90.00 90.00
With the nearest neighbours (Å) after each atom.
Fractional positions:
Ru 0.0000 0.0000 0.0000  12 Pb 3.20-3.52
Pb 0.0000 0.5000 0.5000  8 Pb 3.20-3.52, 4 Ru 3.20
Pb 0.5000 0.0000 0.5000  8 Pb 3.20-3.52, 4 Ru 3.20
Pb 0.5000 0.5000 0.0000  8 Pb 3.20, 4 Ru 3.52

DFT (PBE-GGA) results for a geometry-optimized RuPb structure.

Calculated values
Density of states at the Fermi level = 11.63 states/eV per cell
Uncorrected energy = -6.031 eV/atom
Symmetry = No. 59

a b c (Å): 3.1165 12.5288 6.5717
angles (deg): 90.00 90.00 90.00
With the nearest neighbours (Å) after each atom.
Fractional positions:
Ru 0.2500 0.1435 0.0050  3 Ru 2.65-2.67, 4 Pb 2.78-2.84
Ru 0.2500 0.3565 0.0050  3 Ru 2.65-2.67, 4 Pb 2.78-2.84
Ru 0.2500 0.7500 0.2492  4 Ru 2.65, 4 Pb 2.80-2.91
Ru 0.7500 0.2500 0.7508  4 Ru 2.65, 4 Pb 2.80-2.91
Ru 0.7500 0.6435 0.9950  3 Ru 2.65-2.67, 4 Pb 2.78-2.84
Ru 0.7500 0.8565 0.9950  3 Ru 2.65-2.67, 4 Pb 2.78-2.84
Pb 0.2500 0.2500 0.3768  4 Ru 2.78-2.91, 2 Pb 3.12
Pb 0.2500 0.5269 0.2787  4 Ru 2.79-2.84, 2 Pb 3.12
Pb 0.2500 0.9731 0.2787  4 Ru 2.79-2.84, 2 Pb 3.12
Pb 0.7500 0.0269 0.7213  4 Ru 2.79-2.84, 2 Pb 3.12
Pb 0.7500 0.4731 0.7213  4 Ru 2.79-2.84, 2 Pb 3.12
Pb 0.7500 0.7500 0.6232  4 Ru 2.78-2.91, 2 Pb 3.12

DFT (PBE-GGA) results for a geometry-optimized Ru5Pb3 structure.

Calculated values
Excess energy over the best structure of this formula in the dataset = 119 meV/atom
Density of states at the Fermi level = 8.30 states/eV per cell
Uncorrected energy = -6.613 eV/atom
Symmetry = No. 65

a b c (Å): 5.6833 5.6833 4.5482
angles (deg): 90.00 90.00 108.33
With the nearest neighbours (Å) after each atom.
Fractional positions:
Ru 0.0000 0.0000 0.0000  8 Ru 2.83-2.84, 4 Pb 3.13
Ru 0.0000 0.5000 0.0000  6 Pb 2.82-2.84, 2 Ru 2.84
Ru 0.2528 0.2528 0.5000  6 Pb 2.74-2.95, 2 Ru 2.83
Ru 0.5000 0.0000 0.0000  6 Pb 2.82-2.84, 2 Ru 2.84
Ru 0.7472 0.7472 0.5000  6 Pb 2.74-2.95, 2 Ru 2.83
Pb 0.2341 0.7659 0.5000  8 Ru 2.74-2.95
Pb 0.5000 0.5000 0.0000  8 Ru 2.81-2.84
Pb 0.7659 0.2341 0.5000  8 Ru 2.74-2.95